Record 1
Density functional theory data (GGA-PBE) for an optimized crystal structure of SmGa3CoPd.

```
data_SmGa3CoPd
_chemical_formula_sum 'Sm4 Ga12 Co4 Pd4'
_symmetry_space_group_name_H-M 'C m c m'
_symmetry_Int_Tables_number 63
_symmetry_space_group_name_Hall '-C 2c 2'
_cell_length_a 7.675
_cell_length_b 10.682
_cell_length_c 5.802
_cell_angle_alpha 90.00
_cell_angle_beta 90.00
_cell_angle_gamma 90.00
loop_
_atom_site_label
_atom_site_fract_x
_atom_site_fract_y
_atom_site_fract_z
Sm1 0.000 0.250 0.250
Ga1 0.000 0.229 0.750
Ga2 0.240 0.000 0.000
Co1 0.000 0.020 0.750
Pd1 0.000 0.454 0.750
```

Values from the calculation:
- Volume: 19.8 Å³ per atom
- Energy of formation: -0.351 eV per atom

=====

Record 2
Density functional theory data (GGA-PBE) for an optimized crystal structure of LiCdRe2.

```
data_LiCdRe2
_chemical_formula_sum 'Li3 Cd3 Re6'
_symmetry_space_group_name_H-M 'R -3 m'
_symmetry_Int_Tables_number 166
_symmetry_space_group_name_Hall '-R 3 2"'
_cell_length_a 2.7680
_cell_length_b 2.7680
_cell_length_c 29.0027
_cell_angle_alpha 90.00
_cell_angle_beta 90.00
_cell_angle_gamma 120.00
loop_
_atom_site_label
_atom_site_fract_x
_atom_site_fract_y
_atom_site_fract_z
Li1 0.0000 0.0000 0.0000
Cd1 0.0000 0.0000 0.5000
Re1 0.0000 0.0000 0.2523
```

Values from the calculation:
- Volume: 16.0 Å³ per atom
- Energy of formation: 0.587 eV per atom

=====

Record 3
Density functional theory data (GGA-PBE) for an optimized crystal structure of Tb2YGa4.

```
data_Tb2YGa4
_chemical_formula_sum 'Tb4 Y2 Ga8'
_symmetry_space_group_name_H-M 'I m m m'
_symmetry_Int_Tables_number 71
_symmetry_space_group_name_Hall '-I 2 2'
_cell_length_a 4.140
_cell_length_b 4.266
_cell_length_c 18.310
_cell_angle_alpha 90.00
_cell_angle_beta 90.00
_cell_angle_gamma 90.00
loop_
_atom_site_label
_atom_site_fract_x
_atom_site_fract_y
_atom_site_fract_z
Tb1 0.000 0.000 0.185
Y1 0.000 0.500 0.500
Ga1 0.000 0.000 0.354
Ga2 0.000 0.500 0.067
```

Values from the calculation:
- Volume: 23.1 Å³ per atom
- Energy of formation: -0.643 eV per atom

=====

Record 4
Density functional theory data (GGA-PBE) for an optimized crystal structure of CeTmIn3.

```
data_CeTmIn3
_chemical_formula_sum 'Ce4 Tm4 In12'
_symmetry_space_group_name_H-M 'C m c m'
_symmetry_Int_Tables_number 63
_symmetry_space_group_name_Hall '-C 2c 2'
_cell_length_a 6.155
_cell_length_b 16.629
_cell_length_c 5.595
_cell_angle_alpha 90.00
_cell_angle_beta 90.00
_cell_angle_gamma 90.00
loop_
_atom_site_label
_atom_site_fract_x
_atom_site_fract_y
_atom_site_fract_z
Ce1 0.000 0.194 0.250
Tm1 0.000 0.432 0.750
In1 0.000 0.000 0.000
In2 0.238 0.368 0.250
```

Values from the calculation:
- Volume: 28.6 Å³ per atom
- Energy of formation: -0.194 eV per atom

=====

Record 5
Density functional theory data (GGA-PBE) for an optimized crystal structure of Tb12Pm5Th2.

```
data_Tb12Pm5Th2
_chemical_formula_sum 'Tb24 Pm10 Th4'
_symmetry_space_group_name_H-M 'C 1 2/m 1'
_symmetry_Int_Tables_number 12
_cell_length_a 16.176
_cell_length_b 9.798
_cell_length_c 7.973
_cell_angle_alpha 90.00
_cell_angle_beta 90.44
_cell_angle_gamma 90.00
loop_
_symmetry_equiv_pos_as_xyz
'x,y,z'
'-x,-y,-z'
'-x,y,-z'
'x,-y,z'
'x+1/2,y+1/2,z'
'-x+1/2,-y+1/2,-z'
'-x+1/2,y+1/2,-z'
'x+1/2,-y+1/2,z'
loop_
_atom_site_label
_atom_site_fract_x
_atom_site_fract_y
_atom_site_fract_z
Tb1 0.049 0.000 0.288
Tb2 0.107 0.222 0.613
Tb3 0.159 0.500 0.877
Tb4 0.192 0.274 0.207
Pm1 0.000 0.500 0.500
Pm2 0.142 0.000 0.933
Pm3 0.247 0.500 0.521
Th1 0.000 0.281 0.000
```

Values from the calculation:
- Volume: 33.3 Å³ per atom
- Relative energy among the computed polymorphs: 89.5 meV/atom
- Energy of formation: 0.151 eV per atom

=====

Record 6
Density functional theory data (GGA-PBE) for an optimized crystal structure of Li2Y2Si4Ni.

```
data_Li2Y2Si4Ni
_chemical_formula_sum 'Li4 Y4 Si8 Ni2'
_symmetry_space_group_name_H-M 'I 4/m m m'
_symmetry_Int_Tables_number 139
_symmetry_space_group_name_Hall '-I 4 2'
_cell_length_a 5.835
_cell_length_b 5.835
_cell_length_c 8.623
_cell_angle_alpha 90.00
_cell_angle_beta 90.00
_cell_angle_gamma 90.00
loop_
_atom_site_label
_atom_site_fract_x
_atom_site_fract_y
_atom_site_fract_z
Li1 0.000 0.000 0.219
Y1 0.000 0.500 0.250
Si1 0.218 0.218 0.000
Ni1 0.000 0.000 0.500
```

Values from the calculation:
- Volume: 16.3 Å³ per atom
- Energy relative to the elements, uncorrected: -0.505 eV/atom

=====

Record 7
Density functional theory data (GGA-PBE) for an optimized crystal structure of Ac2SnRu.

```
data_Ac2SnRu
_chemical_formula_sum 'Ac6 Sn3 Ru3'
_symmetry_space_group_name_H-M 'R -3 m'
_symmetry_Int_Tables_number 166
_symmetry_space_group_name_Hall '-R 3 2"'
_cell_length_a 4.1635
_cell_length_b 4.1635
_cell_length_c 30.9047
_cell_angle_alpha 90.00
_cell_angle_beta 90.00
_cell_angle_gamma 120.00
loop_
_atom_site_label
_atom_site_fract_x
_atom_site_fract_y
_atom_site_fract_z
Ac1 0.0000 0.0000 0.1135
Sn1 0.0000 0.0000 0.0000
Ru1 0.0000 0.0000 0.5000
```

Values from the calculation:
- Volume: 38.7 Å³ per atom
- Energy of formation: 0.076 eV per atom

=====

Record 8
Density functional theory data (GGA-PBE) for an optimized crystal structure of FeAgPd4.

```
data_FeAgPd4
_chemical_formula_sum 'Fe2 Ag2 Pd8'
_symmetry_space_group_name_H-M 'C 1 2/m 1'
_symmetry_Int_Tables_number 12
_cell_length_a 8.806
_cell_length_b 2.762
_cell_length_c 8.790
_cell_angle_alpha 90.00
_cell_angle_beta 116.41
_cell_angle_gamma 90.00
loop_
_symmetry_equiv_pos_as_xyz
'x,y,z'
'-x,-y,-z'
'-x,y,-z'
'x,-y,z'
'x+1/2,y+1/2,z'
'-x+1/2,-y+1/2,-z'
'-x+1/2,y+1/2,-z'
'x+1/2,-y+1/2,z'
loop_
_atom_site_label
_atom_site_fract_x
_atom_site_fract_y
_atom_site_fract_z
Fe1 0.000 0.000 0.000
Ag1 0.000 0.500 0.500
Pd1 0.154 0.000 0.328
Pd2 0.154 0.500 0.854
```

Values from the calculation:
- Volume: 16.0 Å³ per atom
- Relative energy among the computed polymorphs: 106.9 meV/atom
- Energy of formation: 0.053 eV per atom